# NiBiI2

NiBiI2 after structural relaxation (PBE-GGA, the Alexandria database).

Properties
As for the density of states at the Fermi level: 1.110 states/eV per atom. The space-group type is Fm-3m, No. 225. As for the formation energy (no corrections): 239 kJ/mol of formula units. The total energy is -2.57 eV/atom. The value obtained for the excess energy over the best structure of this formula in the dataset is 2.07 eV per formula unit. As for the total magnetic moment: 0.00 μB/atom.

Unit cell a=5.364 b=5.364 c=5.364 alpha=60.00 beta=60.00 gamma=60.00
Positions (direct):
I (0.250, 0.250, 0.250)
Ni (0.000, 0.000, 0.000)
I (0.750, 0.750, 0.750)
Bi (0.500, 0.500, 0.500)



# NiBi2I

NiBi2I after structural relaxation (PBE-GGA, the Alexandria database).

Properties
As for the density of states at the Fermi level: 0.772 states/eV per atom. The space-group type is Fm-3m, No. 225. As for the formation energy (no corrections): 243 kJ/mol of formula units. The total energy is -3.14 eV/atom. The value obtained for the excess energy over the best structure of this formula in the dataset is 2.83 eV per formula unit. As for the total magnetic moment: 0.00 μB/atom.

Unit cell a=5.306 b=5.306 c=5.306 alpha=60.00 beta=60.00 gamma=60.00
Positions (direct):
Bi (0.250, 0.250, 0.250)
I (0.500, 0.500, 0.500)
Ni (0.000, 0.000, 0.000)
Bi (0.750, 0.750, 0.750)



# Ni2BiI

Ni2BiI after structural relaxation (PBE-GGA, the Alexandria database).

Properties
As for the density of states at the Fermi level: 0.711 states/eV per atom. The space-group type is Fm-3m, No. 225. As for the formation energy (no corrections): 221 kJ/mol of formula units. The total energy is -3.68 eV/atom. The value obtained for the excess energy over the best structure of this formula in the dataset is 1.11 eV per formula unit. As for the total magnetic moment: 0.00 μB/atom.

Unit cell a=4.799 b=4.799 c=4.799 alpha=60.00 beta=60.00 gamma=60.00
Positions (direct):
Bi (0.500, 0.500, 0.500)
I (0.000, 0.000, 0.000)
Ni (0.750, 0.750, 0.750)
Ni (0.250, 0.250, 0.250)



# NiBi2I

NiBi2I after structural relaxation (PBE-GGA, the Alexandria database).

Properties
As for the density of states at the Fermi level: 0.615 states/eV per atom. The space-group type is R-3m, No. 166. As for the formation energy (no corrections): -31 kJ/mol of formula units. The total energy is -3.85 eV/atom. The value obtained for the excess energy over the best structure of this formula in the dataset is 0.00 eV per formula unit. As for the total magnetic moment: 0.00 μB/atom.

Unit cell a=4.130 b=4.130 c=8.129 alpha=75.28 beta=75.28 gamma=60.00
Positions (direct):
Bi (0.280, 0.280, 0.161)
Bi (0.720, 0.720, 0.839)
I (0.500, 0.500, 0.500)
Ni (0.000, 0.000, 0.000)



# Ni4Bi12I3

Ni4Bi12I3 after structural relaxation (PBE-GGA, the Alexandria database).

Properties
As for the density of states at the Fermi level: 0.405 states/eV per atom. The space-group type is Cmcm, No. 63. As for the formation energy (no corrections): -226 kJ/mol of formula units. The total energy is -4.04 eV/atom. As for the total magnetic moment: 0.00 μB/atom.

Unit cell a=8.347 b=8.347 c=34.856 alpha=90.00 beta=90.00 gamma=151.41
Positions (direct):
Bi (0.111, 0.889, 0.621)
I (0.130, 0.870, 0.976)
Bi (0.359, 0.641, 0.302)
I (0.130, 0.870, 0.524)
Ni (0.062, 0.938, 0.379)
Bi (0.340, 0.660, 0.854)
I (0.870, 0.130, 0.024)
Bi (0.017, 0.983, 0.198)
Bi (0.889, 0.111, 0.121)
Bi (0.641, 0.359, 0.698)
Bi (0.810, 0.190, 0.572)
Bi (0.111, 0.889, 0.879)
Ni (0.485, 0.515, 0.147)
Ni (0.062, 0.938, 0.121)
I (0.321, 0.679, 0.750)
Bi (0.531, 0.469, 0.069)
Bi (0.017, 0.983, 0.302)
Bi (0.359, 0.641, 0.198)
Bi (0.660, 0.340, 0.146)
Bi (0.983, 0.017, 0.698)
Bi (0.810, 0.190, 0.928)
Bi (0.190, 0.810, 0.072)
Bi (0.660, 0.340, 0.354)
Bi (0.889, 0.111, 0.379)
I (0.679, 0.321, 0.250)
Bi (0.531, 0.469, 0.431)
I (0.870, 0.130, 0.476)
Bi (0.469, 0.531, 0.569)
Bi (0.641, 0.359, 0.802)
Bi (0.190, 0.810, 0.428)
Ni (0.938, 0.062, 0.879)
Bi (0.983, 0.017, 0.802)
Bi (0.340, 0.660, 0.646)
Bi (0.469, 0.531, 0.931)
Ni (0.938, 0.062, 0.621)
Ni (0.485, 0.515, 0.353)
Ni (0.515, 0.485, 0.853)
Ni (0.515, 0.485, 0.647)



# NiBi2I

NiBi2I after structural relaxation (PBE-GGA, the Alexandria database).

Properties
As for the density of states at the Fermi level: 0.588 states/eV per atom. The space-group type is R3m, No. 160. As for the formation energy (no corrections): -24 kJ/mol of formula units. The total energy is -3.84 eV/atom. The value obtained for the excess energy over the best structure of this formula in the dataset is 0.07 eV per formula unit. As for the total magnetic moment: 0.00 μB/atom.

Unit cell a=4.195 b=4.195 c=8.045 alpha=74.89 beta=74.89 gamma=60.00
Positions (direct):
Bi (0.053, 0.053, 0.841)
Ni (0.666, 0.666, 0.001)
Bi (0.282, 0.282, 0.154)
I (0.499, 0.499, 0.504)